# 1
CeMgInBr6 | GGA-PBE | relaxed

a b c (Å): 7.321 7.321 14.353
angles (deg): 90.00 90.00 120.00
Site moments in Bohr magnetons follow the coordinates.
Element x y z (fractional)
Br1 0.378 0.023 0.139  -0.01
Br2 0.622 0.977 0.861  -0.01
Br3 0.644 0.622 0.139  -0.01
Br4 0.977 0.622 0.361  -0.01
Br5 0.356 0.977 0.639  -0.01
Br6 0.378 0.356 0.361  -0.01
Br7 0.977 0.356 0.139  -0.01
Br8 0.023 0.378 0.639  -0.01
Br9 0.644 0.023 0.361  -0.01
Br10 0.622 0.644 0.639  -0.01
Br11 0.356 0.378 0.861  -0.01
Br12 0.023 0.644 0.861  -0.01
Ce1 0.667 0.333 0.750  0.98
Ce2 0.333 0.667 0.250  0.98
Mg1 0.667 0.333 0.250  0.00
Mg2 0.333 0.667 0.750  0.00
In1 0.000 0.000 0.500  0.00
In2 0.000 0.000 0.000  0.00

Properties
As for the space-group type: P-31c. The value obtained for the total energy is -33.2 eV/f.u.

=====

# 2
Pr12Nd7Mg | GGA-PBE | relaxed

a b c (Å): 8.956 8.956 8.956
angles (deg): 88.29 88.29 88.29
Element x y z (fractional)
Mg1 0.000 0.000 0.000
Nd1 0.853 0.612 0.927
Nd2 0.073 0.147 0.388
Nd3 0.612 0.927 0.853
Nd4 0.500 0.500 0.500
Nd5 0.388 0.073 0.147
Nd6 0.927 0.853 0.612
Nd7 0.147 0.388 0.073
Pr1 0.385 0.860 0.505
Pr2 0.134 0.745 0.265
Pr3 0.860 0.505 0.385
Pr4 0.505 0.385 0.860
Pr5 0.140 0.495 0.615
Pr6 0.255 0.735 0.866
Pr7 0.735 0.866 0.255
Pr8 0.495 0.615 0.140
Pr9 0.615 0.140 0.495
Pr10 0.745 0.265 0.134
Pr11 0.265 0.134 0.745
Pr12 0.866 0.255 0.735

Properties
As for the space-group type: R-3. Its formation enthalpy at 0 K is 3.526 eV per formula unit. The offset from the most stable computed form is 0.000 eV per atom.